CsRbHgO2: optimized geometry, PBE-GGA.

The space group is Cmme (No. 67) and the conventional cell measures 8.1223, 15.1388 and 6.5532 Å, with angles of 90.00, 90.00 and 90.00 degrees. The asymmetric unit holds Cs at (0.0000, 0.2500, 0.0880), Rb at (0.2500, 0.0000, 0.5000), Hg at (0.0000, 0.0000, 0.0000) and O at (0.0000, 0.0801, 0.2440).

The value obtained for the uncorrected formation energy is -0.912 eV/atom. For the size of the total moment, the calculation gives 0.00 μB per cell.